# 1
This record from Alexandria describes a relaxed structure of TiAlHRu2. The functional is GGA-PBE.

a b c (Å): 4.110 4.110 3.528
angles (deg): 90.00 90.00 90.00
Element x y z (fractional)
Ti 0.000 0.000 0.000
Al 0.500 0.500 0.000
H 0.000 0.000 0.500
Ru 0.000 0.500 0.500
Ru 0.500 0.000 0.500

Values from the calculation:
* E_tot: -35.84 eV for the cell shown


# 2
This record from Alexandria describes a relaxed structure of AlVHRu2. The functional is GGA-PBE.

a b c (Å): 4.048 4.048 3.520
angles (deg): 90.00 90.00 90.00
Element x y z (fractional)
Al 0.000 0.000 0.000
V 0.500 0.500 0.000
H 0.500 0.500 0.500
Ru 0.000 0.500 0.500
Ru 0.500 0.000 0.500

Values from the calculation:
* E_tot: -35.96 eV for the cell shown


# 3
This record from Alexandria describes a relaxed structure of AlV2HRu. The functional is GGA-PBE.

a b c (Å): 3.793 3.793 3.997
angles (deg): 90.00 90.00 90.00
Element x y z (fractional)
Al 0.000 0.000 0.000
V 0.000 0.500 0.500
V 0.500 0.000 0.500
H 0.500 0.500 0.500
Ru 0.500 0.500 0.000

Values from the calculation:
* distance to the lowest polymorph of the same formula: 0 meV per atom


# 4
This record from Alexandria describes a relaxed structure of AlV2HRu. The functional is GGA-PBE.

a b c (Å): 3.674 3.674 4.241
angles (deg): 90.00 90.00 90.00
Element x y z (fractional)
Al 0.000 0.000 0.000
V 0.000 0.500 0.500
V 0.500 0.000 0.500
H 0.000 0.000 0.500
Ru 0.500 0.500 0.000

Values from the calculation:
* distance to the lowest polymorph of the same formula: 38 meV per atom


# 5
This record from Alexandria describes a relaxed structure of YAlH2Ru. The functional is GGA-PBE.

a b c (Å): 3.787 3.787 5.625
angles (deg): 90.00 90.00 90.00
Element x y z (fractional)
Y 0.000 0.000 0.000
Al 0.500 0.500 0.500
H 0.000 0.500 0.000
H 0.500 0.000 0.000
Ru 0.000 0.000 0.500

Values from the calculation:
* E_tot: -25.19 eV for the cell shown


# 6
This record from Alexandria describes a relaxed structure of ZrAlHRu2. The functional is GGA-PBE.

a b c (Å): 4.151 4.151 3.829
angles (deg): 90.00 90.00 90.00
Element x y z (fractional)
Zr 0.000 0.000 0.000
Al 0.500 0.500 0.000
H 0.000 0.000 0.500
Ru 0.000 0.500 0.500
Ru 0.500 0.000 0.500

Values from the calculation:
* E_tot: -36.06 eV for the cell shown